{
  "formula": "K2TlI",
  "functional": "PBE",
  "state": "relaxed",
  "lattice": [[0.000, 4.419, 4.419], [4.419, 0.000, 4.419], [4.419, 4.419, 0.000]],
  "species": ["I", "Tl", "K", "K"],
  "fractional_positions": [[0.000, 0.000, 0.000], [0.500, 0.500, 0.500], [0.250, 0.250, 0.250], [0.750, 0.750, 0.750]],
  "sg": "Fm-3m (225)",
  "vol_a3_per_fu": 172.60,
  "e_tot_ev_per_atom": -1.9575
}